# 1
Density functional theory data (PBE-GGA) for an optimized crystal structure of BaSc3Ta.

## Properties
**DFT formation energy**: 0.512 eV per atom
**Spin magnetization**: 0.00 μB/f.u.
**SG**: Pm-3m, No. 221
**Total DFT energy (no corrections)**: -6.04 eV/atom
**E above lowest polymorph**: 0.00 eV/f.u.

a = 5.381 Å, b = 5.381 Å, c = 5.381 Å
α = 90.00°, β = 90.00°, γ = 90.00°
Positions (direct):
Ba 0.000 0.000 0.000
Sc 0.000 0.500 0.500
Sc 0.500 0.000 0.500
Sc 0.500 0.500 0.000
Ta 0.500 0.500 0.500

***

# 2
Density functional theory data (PBE-GGA) for an optimized crystal structure of Ba4ScTa.

## Properties
**DFT formation energy**: 1.204 eV per atom
**Spin magnetization**: 2.64 μB/f.u.
**SG**: F-43m, No. 216
**Total DFT energy (no corrections)**: -3.11 eV/atom

a = 7.088 Å, b = 7.088 Å, c = 7.088 Å
α = 60.00°, β = 60.00°, γ = 60.00°
Positions (direct):
Ba 0.376 0.376 0.376
Ba 0.376 0.376 0.873
Ba 0.376 0.873 0.376
Ba 0.873 0.376 0.376
Sc 0.000 0.000 0.000
Ta 0.750 0.750 0.750

***

# 3
Density functional theory data (PBE-GGA) for an optimized crystal structure of BaScTa2Tc.

## Properties
**DFT formation energy**: 2.833 eV per atom
**Spin magnetization**: 0.00 μB/f.u.
**SG**: P4/mmm, No. 123
**Total DFT energy (no corrections)**: -5.63 eV/atom

a = 5.039 Å, b = 5.039 Å, c = 4.939 Å
α = 90.00°, β = 90.00°, γ = 90.00°
Positions (direct):
Ba 0.000 0.000 0.000
Sc 0.000 0.000 0.500
Ta 0.000 0.500 0.000
Ta 0.500 0.000 0.000
Tc 0.500 0.500 0.500

***

Look up the total DFT energy (no corrections) of the second one. -3.11 eV/atom

***

Which formula does entry 1 have? BaSc3Ta